Entry 1:
Entry from Alexandria via LeMat-Bulk: Ac2Pr3Nd after structural relaxation (PBE).

Lattice parameters (Å, degrees): 3.8269 3.8269 15.9218 90.00 90.00 90.00
Last column: nearest neighbours and their distance in Å.
Space group P4/mmm (No. 123)
Inequivalent atoms, fractional coordinates:
Ac 0.0000 0.0000 0.1705 (multiplicity 2)  4 Ac 3.83, 8 Pr 3.83-3.84
Pr 0.5000 0.5000 0.0000 (multiplicity 1)  4 Pr 3.83, 8 Ac 3.83
Pr 0.5000 0.5000 0.3418 (multiplicity 2)  4 Nd 3.70, 4 Pr 3.83, 4 Ac 3.84
Nd 0.0000 0.0000 0.5000 (multiplicity 1)  8 Pr 3.70, 4 Nd 3.83

energy relative to the lowest polymorph listed for this composition: 0.000 eV per formula unit

Entry 2:
Entry from Alexandria via LeMat-Bulk: Ac3PrNd5 after structural relaxation (PBE).

Lattice parameters (Å, degrees): 13.7903 8.5262 12.7909 90.00 96.27 90.00
Last column: nearest neighbours and their distance in Å.
Space group C2/m (No. 12)
Inequivalent atoms, fractional coordinates:
Ac 0.0000 0.0000 0.0000 (multiplicity 2)  2 Nd 2.86
Ac 0.0000 0.0000 0.5000 (multiplicity 2)  2 Pr 3.73, 2 Ac 3.79, 4 Nd 4.05
Ac 0.1511 0.5000 0.2146 (multiplicity 4)  6 Nd 3.29-3.55, 1 Ac 3.58
Ac 0.2243 0.5000 0.4922 (multiplicity 4)  2 Nd 3.42-3.69, 2 Ac 3.58-3.79, 1 Pr 3.60
Pr 0.1277 0.0000 0.2574 (multiplicity 4)  3 Nd 3.55-3.85, 3 Ac 3.56-3.73
Nd 0.0000 0.3354 0.0000 (multiplicity 4)  1 Nd 2.81, 1 Ac 2.86
Nd 0.0290 0.5000 0.6360 (multiplicity 4)  3 Nd 3.25-3.48, 2 Ac 3.29-3.42
Nd 0.1234 0.2020 0.7692 (multiplicity 8)  2 Nd 3.25-3.44, 1 Ac 3.54
Nd 0.2482 0.5000 0.9715 (multiplicity 4)  2 Ac 3.45-3.52, 1 Pr 3.55, 2 Nd 3.75

Entry 3:
Entry from Alexandria via LeMat-Bulk: AcPr6Nd2 after structural relaxation (PBE).

Lattice parameters (Å, degrees): 6.4529 6.4529 18.3960 90.00 90.00 90.00
Last column: nearest neighbours and their distance in Å.
Space group P4_2/mnm (No. 136)
Inequivalent atoms, fractional coordinates:
Ac 0.0000 0.0000 0.0000 (multiplicity 2)  2 Pr 3.05
Pr 0.1661 0.1661 0.5000 (multiplicity 4)  1 Pr 3.03, 1 Ac 3.05, 2 Nd 3.31
Pr 0.1759 0.1759 0.1748 (multiplicity 8)  1 Nd 2.97, 1 Pr 3.21
Nd 0.0000 0.0000 0.3401 (multiplicity 4)  4 Pr 2.97-3.31

energy relative to the lowest polymorph listed for this composition: 5.280 eV per formula unit

Entry 4:
Entry from Alexandria via LeMat-Bulk: Ac12PrNd7 after structural relaxation (PBE).

Lattice parameters (Å, degrees): 20.9159 20.9159 6.7039 90.00 90.00 120.00
Last column: nearest neighbours and their distance in Å.
Space group R-3 (No. 148, hexagonal axes)
Inequivalent atoms, fractional coordinates:
Ac 0.9998 0.4122 0.9996 (multiplicity 18)  2 Nd 3.59, 3 Ac 3.63-3.67
Ac 0.1018 0.5505 0.4818 (multiplicity 18)  4 Nd 3.52-3.82, 1 Ac 3.69
Pr 0.0000 0.0000 0.5000 (multiplicity 3)  8 Nd 3.23-3.35
Nd 0.0000 0.0000 0.0000 (multiplicity 3)  2 Pr 3.35, 6 Nd 3.60
Nd 0.0812 0.1631 0.3067 (multiplicity 18)  1 Pr 3.23, 3 Ac 3.52-3.59, 1 Nd 3.60

energy relative to the lowest polymorph listed for this composition: 0.000 eV per formula unit

Entry 5:
Entry from Alexandria via LeMat-Bulk: Ac3Pr8Nd2 after structural relaxation (PBE).

Lattice parameters (Å, degrees): 8.1459 5.9044 11.4280 90.00 110.82 90.00
Last column: nearest neighbours and their distance in Å.
Space group P2/m (No. 10)
Inequivalent atoms, fractional coordinates:
Ac 0.0000 0.0000 0.0000 (multiplicity 1)  4 Pr 3.41-3.42, 4 Ac 3.76
Ac 0.2859 0.5000 0.0000 (multiplicity 2)  3 Ac 3.49-3.76, 6 Pr 3.71-3.81
Pr 0.1353 0.5000 0.2708 (multiplicity 2)  2 Nd 3.70, 4 Ac 3.71-4.13, 5 Pr 3.85-3.98
Pr 0.1859 0.0000 0.7753 (multiplicity 2)  3 Pr 3.29-3.66, 1 Ac 3.41, 2 Nd 3.56-3.65
Pr 0.3218 0.5000 0.6437 (multiplicity 2)  2 Nd 3.43, 4 Pr 3.66
Pr 0.4106 0.0000 0.2246 (multiplicity 2)  3 Pr 3.29-3.66, 1 Ac 3.42, 2 Nd 3.56-3.65
Nd 0.2398 0.0000 0.4797 (multiplicity 2)  8 Pr 3.43-3.70

Entry 6:
Entry from Alexandria via LeMat-Bulk: Ac4Pr5Nd3 after structural relaxation (PBE).

Lattice parameters (Å, degrees): 17.0882 6.3328 9.9451 90.00 118.10 90.00
Last column: nearest neighbours and their distance in Å.
Space group C2/m (No. 12)
Inequivalent atoms, fractional coordinates:
Ac 0.0815 0.0000 0.4294 (multiplicity 4)  1 Nd 3.61, 6 Pr 3.62-3.94, 2 Ac 3.66-3.89
Ac 0.2138 0.0000 0.8728 (multiplicity 4)  3 Nd 3.56-3.73, 3 Pr 3.85-3.93, 3 Ac 3.87-3.89
Pr 0.0000 0.0000 0.0000 (multiplicity 2)  4 Nd 3.17-3.24
Pr 0.0742 0.5000 0.6986 (multiplicity 4)  2 Nd 3.38-3.76, 1 Pr 3.55
Pr 0.1699 0.5000 0.3867 (multiplicity 4)  4 Nd 3.38-3.75, 3 Ac 3.62-3.75
Nd 0.0000 0.5000 0.0000 (multiplicity 2)  2 Pr 3.17
Nd 0.2114 0.0000 0.2291 (multiplicity 4)  3 Pr 3.24-3.38, 2 Ac 3.56-3.61

Entry 7:
Entry from Alexandria via LeMat-Bulk: Ac5PrNd4 after structural relaxation (PBE).

Lattice parameters (Å, degrees): 3.8990 3.8990 26.3008 90.00 90.00 90.00
Last column: nearest neighbours and their distance in Å.
Space group P4/mmm (No. 123)
Inequivalent atoms, fractional coordinates:
Ac 0.0000 0.0000 0.0000 (multiplicity 1)  8 Nd 3.80, 4 Ac 3.90
Ac 0.0000 0.0000 0.1993 (multiplicity 2)  8 Nd 3.80-3.81, 4 Ac 3.90
Ac 0.0000 0.0000 0.3990 (multiplicity 2)  4 Nd 3.81, 4 Pr 3.83, 4 Ac 3.90
Pr 0.5000 0.5000 0.5000 (multiplicity 1)  8 Ac 3.83, 4 Pr 3.90
Nd 0.5000 0.5000 0.0996 (multiplicity 2)  8 Ac 3.80-3.81, 4 Nd 3.90
Nd 0.5000 0.5000 0.2990 (multiplicity 2)  8 Ac 3.80-3.81, 4 Nd 3.90

energy relative to the lowest polymorph listed for this composition: 0.046 eV per formula unit

Entry 8:
Entry from Alexandria via LeMat-Bulk: AcPr4Nd6 after structural relaxation (PBE).

Lattice parameters (Å, degrees): 6.7944 6.7944 17.8745 90.00 90.00 90.00
Last column: nearest neighbours and their distance in Å.
Space group I-42m (No. 121)
Inequivalent atoms, fractional coordinates:
Ac 0.0000 0.0000 0.0000 (multiplicity 2)  4 Nd 3.40, 4 Pr 3.73
Pr 0.1915 0.1915 0.8183 (multiplicity 8)  5 Nd 3.43-3.72, 1 Pr 3.68, 1 Ac 3.73
Nd 0.0000 0.5000 0.0000 (multiplicity 4)  4 Nd 3.37, 2 Ac 3.40
Nd 0.1792 0.1792 0.6266 (multiplicity 8)  3 Nd 3.37-3.44, 5 Pr 3.43-3.72

energy relative to the lowest polymorph listed for this composition: 0.000 eV per formula unit

Entry 9:
Entry from Alexandria via LeMat-Bulk: Ac3PrNd4 after structural relaxation (PBE).

Lattice parameters (Å, degrees): 12.3241 7.6835 6.6106 90.00 90.00 90.00
Last column: nearest neighbours and their distance in Å.
Space group Pmn2_1 (No. 31)
Inequivalent atoms, fractional coordinates:
Ac 0.0000 0.1306 0.0000 (multiplicity 2)  6 Nd 3.76-3.97, 2 Pr 3.83-3.91, 4 Ac 3.84-3.85
Ac 0.2477 0.1352 0.3514 (multiplicity 4)  6 Nd 3.73-3.96, 2 Pr 3.82-3.85, 4 Ac 3.84-3.90
Pr 0.0000 0.8686 0.5076 (multiplicity 2)  6 Nd 3.67-4.02, 6 Ac 3.82-3.91
Nd 0.0000 0.3912 0.5185 (multiplicity 2)  2 Pr 3.67-4.02, 6 Nd 3.71-3.77, 4 Ac 3.76-3.97
Nd 0.0000 0.6193 0.0218 (multiplicity 2)  6 Nd 3.72-3.80, 2 Pr 3.74-3.90, 4 Ac 3.76-3.93
Nd 0.2481 0.6200 0.3421 (multiplicity 4)  6 Nd 3.71-3.80, 5 Ac 3.73-3.96, 1 Pr 3.77

energy relative to the lowest polymorph listed for this composition: 0.160 eV per formula unit

Entry 10:
Entry from Alexandria via LeMat-Bulk: Ac4Pr8Nd after structural relaxation (PBE).

Lattice parameters (Å, degrees): 11.8396 11.8396 13.9161 90.00 90.00 120.00
Last column: nearest neighbours and their distance in Å.
Space group R-3m (No. 166, hexagonal axes)
Inequivalent atoms, fractional coordinates:
Ac 0.0000 0.0000 0.0000 (multiplicity 3)  8 Pr 3.35-3.48
Ac 0.0000 0.5000 0.0000 (multiplicity 9)  8 Pr 3.60-3.65
Pr 0.0000 0.0000 0.2406 (multiplicity 6)  4 Ac 3.35-3.65, 1 Nd 3.61
Pr 0.0081 0.5040 0.7390 (multiplicity 18)  4 Ac 3.48-3.63, 1 Nd 3.74, 2 Pr 3.90
Nd 0.0000 0.0000 0.5000 (multiplicity 3)  8 Pr 3.61-3.74

Entry 11:
Entry from Alexandria via LeMat-Bulk: Ac2Pr5Nd5 after structural relaxation (PBE).

Lattice parameters (Å, degrees): 15.9176 5.2937 11.8585 90.00 116.63 90.00
Last column: nearest neighbours and their distance in Å.
Space group C2/m (No. 12)
Inequivalent atoms, fractional coordinates:
Ac 0.0827 0.0000 0.2494 (multiplicity 4)  7 Nd 3.74-3.77, 5 Pr 3.75-3.79
Pr 0.0000 0.0000 0.5000 (multiplicity 2)  2 Pr 3.70, 8 Nd 3.74-3.75, 2 Ac 3.75
Pr 0.1687 0.0000 0.0006 (multiplicity 4)  5 Nd 3.69-3.77, 5 Pr 3.71-3.76, 2 Ac 3.76-3.77
Pr 0.2465 0.0000 0.7482 (multiplicity 4)  6 Nd 3.69-3.80, 4 Pr 3.70-3.76, 2 Ac 3.79
Nd 0.0000 0.5000 0.0000 (multiplicity 2)  4 Ac 3.74, 6 Pr 3.77-3.80, 2 Nd 3.78
Nd 0.0859 0.5000 0.7501 (multiplicity 4)  7 Pr 3.69-3.75, 3 Nd 3.70-3.78, 2 Ac 3.77
Nd 0.1661 0.5000 0.5011 (multiplicity 4)  4 Nd 3.70-3.77, 5 Pr 3.72-3.79, 3 Ac 3.76

Entry 12:
Entry from Alexandria via LeMat-Bulk: Ac2PrNd6 after structural relaxation (PBE).

Lattice parameters (Å, degrees): 15.7227 10.3069 9.3627 90.00 117.71 90.00
Last column: nearest neighbours and their distance in Å.
Space group C2/c (No. 15)
Inequivalent atoms, fractional coordinates:
Ac 0.0918 0.0835 0.1764 (multiplicity 8)  6 Nd 3.50-3.89, 2 Ac 3.65-3.73
Pr 0.0000 0.2532 0.7500 (multiplicity 4)  10 Nd 3.61-4.04, 4 Ac 3.94-3.97
Nd 0.0821 0.4235 0.1662 (multiplicity 8)  4 Nd 3.35-3.59, 1 Ac 3.51
Nd 0.1657 0.2532 0.5820 (multiplicity 8)  1 Pr 3.61, 9 Nd 3.63-4.00, 4 Ac 3.80-4.02
Nd 0.2396 0.4119 0.9892 (multiplicity 8)  3 Nd 3.35-3.56, 2 Ac 3.50-3.64, 1 Pr 3.75

energy relative to the lowest polymorph listed for this composition: 0.000 eV per formula unit

Number 1: raw total energy -27.2 eV per formula unit, ΔH_f (0 K) 0.023 eV/atom, theoretical density 7.27 g/cm3. Number 2: raw total energy -37.0 eV per formula unit, ΔH_f (0 K) 0.440 eV/atom, theoretical density 6.86 g/cm3. Number 3: raw total energy -35.5 eV per formula unit, ΔH_f (0 K) 0.762 eV/atom, theoretical density 5.90 g/cm3. Number 4: raw total energy -83.6 eV per formula unit, ΔH_f (0 K) 0.193 eV/atom, theoretical density 7.60 g/cm3. Number 5: raw total energy -57.0 eV per formula unit, ΔH_f (0 K) 0.240 eV/atom, theoretical density 6.78 g/cm3. Number 6: raw total energy -52.4 eV per formula unit, ΔH_f (0 K) 0.183 eV/atom, theoretical density 7.16 g/cm3. Number 7: raw total energy -44.1 eV per formula unit, ΔH_f (0 K) 0.028 eV/atom, theoretical density 7.70 g/cm3. Number 8: raw total energy -48.6 eV per formula unit, ΔH_f (0 K) 0.293 eV/atom, theoretical density 6.67 g/cm3. Number 9: raw total energy -35.8 eV per formula unit, ΔH_f (0 K) 0.047 eV/atom, theoretical density 7.42 g/cm3. Number 10: raw total energy -53.0 eV per formula unit, ΔH_f (0 K) 0.494 eV/atom, theoretical density 6.43 g/cm3. Number 11: raw total energy -55.7 eV per formula unit, ΔH_f (0 K) 0.022 eV/atom, theoretical density 6.99 g/cm3. Number 12: raw total energy -40.9 eV per formula unit, ΔH_f (0 K) 0.078 eV/atom, theoretical density 7.22 g/cm3.